[1]
The following is a DFT calculation (GGA-PBE) of Os2RuBr after structural relaxation.

a b c (Å): 3.862 3.862 4.129
angles (deg): 90.00 90.00 90.00
Space group P4/mmm (No. 123)
Unique sites:
Os 0.000 0.500 0.000 (multiplicity 2)
Ru 0.000 0.000 0.500 (multiplicity 1)
Br 0.500 0.500 0.500 (multiplicity 1)

Polymorph energy (0 for the lowest one), meV per atom: 814.5
Crystal system: tetragonal
Formation energy without anion corrections, kJ/mol of atoms: 148.4


[2]
The following is a DFT calculation (GGA-PBE) of Y2Mg2S after structural relaxation.

a b c (Å): 3.760 3.760 17.465
angles (deg): 90.00 90.00 90.00
Space group I4/mmm (No. 139)
Unique sites:
Y 0.000 0.000 0.091 (multiplicity 4)
Mg 0.000 0.500 0.250 (multiplicity 4)
S 0.000 0.000 0.500 (multiplicity 2)

Polymorph energy (0 for the lowest one), meV per atom: 228.1
Crystal system: tetragonal
Formation energy without anion corrections, kJ/mol of atoms: -32.4


[3]
The following is a DFT calculation (GGA-PBE) of Ba2CaI2 after structural relaxation.

a b c (Å): 6.226 6.226 14.192
angles (deg): 90.00 90.00 90.00
Space group I4/mmm (No. 139)
Unique sites:
Ba 0.000 0.500 0.250 (multiplicity 4)
Ca 0.000 0.000 0.000 (multiplicity 2)
I 0.000 0.000 0.359 (multiplicity 4)

Polymorph energy (0 for the lowest one), meV per atom: 187.6
Crystal system: tetragonal
Formation energy without anion corrections, kJ/mol of atoms: -67.6


[4]
The following is a DFT calculation (GGA-PBE) of GaCoIrW after structural relaxation.

a b c (Å): 6.101 6.101 6.101
angles (deg): 90.00 90.00 90.00
Space group F-43m (No. 216)
Unique sites:
Ga 0.000 0.000 0.000 (multiplicity 4)
Co 0.250 0.250 0.750 (multiplicity 4)
Ir 0.250 0.250 0.250 (multiplicity 4)
W 0.000 0.000 0.500 (multiplicity 4)

ΔE_f, eV per formula unit: 0.0
Crystal system: cubic